Below is a relaxed structure of Cs2SiICl6, with properties calculated at the PBE level.

abc: 8.136 8.136 7.868
angles: 58.86 58.86 90.00
Last column: magnetic moment on the atom in μB.
Fractional positions:
Cs (0.750, 0.250, 0.500)  0.00
Cs (0.250, 0.750, 0.500)  0.00
I (0.000, 0.000, 0.000)  0.48
Si (0.500, 0.500, 0.000)  0.02
Cl (0.287, 0.287, 0.426)  0.05
Cl (0.713, 0.713, 0.574)  0.05
Cl (0.306, 0.306, 0.000)  0.02
Cl (0.694, 0.694, 0.000)  0.02
Cl (0.694, 0.306, 0.000)  0.02
Cl (0.306, 0.694, 0.000)  0.02

formation energy (no corrections)	-1.234	eV/atom
Fermi-level density of states	0.00	states/eV per cell
crystal system	tetragonal